This record from OQMD describes a relaxed structure of Er2SbP. The functional is PBE.

a b c (Å): 4.1743 4.1743 5.9116
angles (deg): 90.00 90.00 90.00
Positions (direct):
Er  0.5000  0.5000  0.5000
Er  0.0000  0.0000  0.0000
P  0.0000  0.0000  0.5000
Sb  0.5000  0.5000  0.0000

Output
E_tot in Ry/atom: -0.433
Volume in Å³/cell: 103